1.
Density functional theory data (PBEsol) for an optimized crystal structure of Y2ZnPb.

Summary:
N(E_F) ... 4.17 states/eV per cell
Volume ... 25.5 A^3/atom

Structure (POSCAR):
```
Y2ZnPb
1.0
4.244 0.000 0.000
0.000 2.152 5.590
0.000 -2.152 5.590
Y Zn Pb
2 1 1
direct
0.000 0.000 0.000
0.500 0.284 0.284
0.000 0.732 0.732
0.500 0.566 0.566
```


2.
Density functional theory data (PBEsol) for an optimized crystal structure of Y2ZnPb.

Summary:
N(E_F) ... 2.51 states/eV per cell
Volume ... 24.5 A^3/atom

Structure (POSCAR):
```
Y2ZnPb
1.0
-1.962 2.365 5.272
1.962 -2.365 5.272
1.962 2.365 -5.272
Y Zn Pb
2 1 1
direct
0.000 0.000 0.000
0.735 0.235 0.500
0.255 0.755 0.500
0.459 0.459 0.000
```


3.
Density functional theory data (PBEsol) for an optimized crystal structure of YZnPb2.

Summary:
N(E_F) ... 1.98 states/eV per cell
Volume ... 24.1 A^3/atom

Structure (POSCAR):
```
YZnPb2
1.0
4.688 0.000 0.000
0.000 4.688 0.000
0.000 0.000 4.388
Y Zn Pb
1 1 2
direct
0.000 0.000 0.000
0.500 0.500 0.000
0.000 0.500 0.500
0.500 0.000 0.500
```


4.
Density functional theory data (PBEsol) for an optimized crystal structure of YZr2Pb.

Summary:
N(E_F) ... 3.98 states/eV per cell
Volume ... 23.4 A^3/atom

Structure (POSCAR):
```
YZr2Pb
1.0
4.516 0.000 0.000
0.000 4.516 0.000
0.000 0.000 4.594
Y Zr Pb
1 2 1
direct
0.000 0.000 0.000
0.000 0.500 0.500
0.500 0.000 0.500
0.500 0.500 0.000
```


5.
Density functional theory data (PBEsol) for an optimized crystal structure of YZr3Pb.

Summary:
N(E_F) ... 8.60 states/eV per cell
Volume ... 26.5 A^3/atom

Structure (POSCAR):
```
YZr3Pb
1.0
5.099 0.000 0.000
0.000 5.099 0.000
0.000 0.000 5.099
Y Zr Pb
1 3 1
direct
0.000 0.000 0.000
0.000 0.000 0.500
0.000 0.500 0.000
0.500 0.000 0.000
0.500 0.500 0.500
```


6.
Density functional theory data (PBEsol) for an optimized crystal structure of Y2ZrPb.

Summary:
N(E_F) ... 4.76 states/eV per cell
Volume ... 25.8 A^3/atom

Structure (POSCAR):
```
Y2ZrPb
1.0
5.701 0.000 0.000
0.000 3.325 0.000
-1.878 0.000 5.445
Y Zr Pb
2 1 1
direct
0.000 0.000 0.000
0.000 0.500 0.500
0.500 0.000 0.500
0.500 0.500 0.000
```


Number 1: formation energy -0.466 eV per atom, total DFT energy (no corrections) -5.272 eV/atom. Number 2: formation energy -0.393 eV per atom, total DFT energy (no corrections) -5.200 eV/atom. Number 3: formation energy -0.301 eV per atom, total DFT energy (no corrections) -4.401 eV/atom. Number 4: formation energy -0.184 eV per atom, total DFT energy (no corrections) -7.434 eV/atom. Number 5: formation energy 1.217 eV per atom, total DFT energy (no corrections) -6.401 eV/atom. Number 6: formation energy -0.092 eV per atom, total DFT energy (no corrections) -6.775 eV/atom.